Compound: NiMoO3
Source: the Alexandria database
Functional: PBE+U
Structure: relaxed

Summary:
* raw total energy: -0.3874 Ry per atom

a = 3.711 Å, b = 3.711 Å, c = 3.711 Å
α = 90.00°, β = 90.00°, γ = 90.00°
Fractional coordinates of all 5 atoms:
1 Ni 0.000 0.000 0.000
2 Mo 0.500 0.500 0.500
3 O 0.000 0.000 0.500
4 O 0.000 0.500 0.000
5 O 0.500 0.000 0.000